Rb2Mn2TlF7 | PBE with a Hubbard U | optimized geometry

Unit cell a=11.7418 b=11.7418 c=11.7418 alpha=158.86 beta=158.86 gamma=30.08
Last column: nearest neighbours and their distance in Å.
Positions (direct):
Rb 0.1860 0.1860 0.0000  9 F 2.81-3.05
Rb 0.8140 0.8140 0.0000  9 F 2.81-3.05
Mn 0.4043 0.4043 0.0000  6 F 2.14-2.17
Mn 0.5957 0.5957 0.0000  6 F 2.14-2.17
Tl 0.0000 0.0000 0.0000  12 F 3.05-3.06
F 0.0957 0.5957 0.5000  2 Mn 2.15
F 0.3101 0.3101 0.0000  1 Mn 2.14
F 0.4043 0.9043 0.5000  2 Mn 2.15
F 0.5000 0.5000 0.0000  2 Mn 2.17
F 0.5957 0.0957 0.5000  2 Mn 2.15
F 0.6899 0.6899 0.0000  1 Mn 2.14
F 0.9043 0.4043 0.5000  2 Mn 2.15

SG: I4/mmm, No. 139
Density of states at the Fermi level in states/eV per cell: 0.00
Magnetization in μB/cell: 10.0
Uncorrected energy in eV per atom: -5.2797